Below is a geometry-optimized RbPSCl2 structure, with properties calculated at the PBE level.

The space group is P4/mmm (No. 123) and the conventional cell measures 5.848, 5.848 and 6.007 Å, with angles of 90.00, 90.00 and 90.00 degrees. Symmetry generates all atoms from Rb at (0.000, 0.000, 0.000), P at (0.500, 0.500, 0.500), S at (0.000, 0.000, 0.500) and Cl at (0.000, 0.500, 0.000).

The value obtained for the polymorph energy (0 for the lowest one) is 1.688 eV/atom. The calculation puts the formation energy without anion corrections at 1.004 eV per atom.



Below is a geometry-optimized SbTeRh2 structure, with properties calculated at the PBE level.

The space group is C2/m (No. 12) and the conventional cell measures 7.771, 3.297 and 6.335 Å, with angles of 90.00, 102.96 and 90.00 degrees. Symmetry generates all atoms from Sb at (0.000, 0.000, 0.000), Te at (0.000, 0.500, 0.500) and Rh at (0.244, 0.500, 0.211).

The calculation puts the formation energy without anion corrections at -0.152 eV per atom.



Below is a geometry-optimized Ag2PC structure, with properties calculated at the PBE level.

The space group is I-42d (No. 122) and the conventional cell measures 4.592, 4.592 and 13.195 Å, with angles of 90.00, 90.00 and 90.00 degrees. Symmetry generates all atoms from Ag at (0.176, 0.250, 0.125), P at (0.000, 0.000, 0.500) and C at (0.000, 0.000, 0.000).

The energy of formation is 1391 meV/atom. The value obtained for the polymorph energy (0 for the lowest one) is 0.000 eV/atom.



Below is a geometry-optimized Tb2PrEr structure, with properties calculated at the PBE level.

The space group is Fm-3m (No. 225) and the conventional cell measures 8.079, 8.079 and 8.079 Å, with angles of 90.00, 90.00 and 90.00 degrees. Symmetry generates all atoms from Tb at (0.250, 0.250, 0.250), Pr at (0.000, 0.000, 0.000) and Er at (0.000, 0.000, 0.500).

The energy of formation is 144 meV/atom. The value obtained for the polymorph energy (0 for the lowest one) is 0.124 eV/atom.



Below is a geometry-optimized Zn2InSn2 structure, with properties calculated at the PBE level.

The space group is I4/mmm (No. 139) and the conventional cell measures 4.493, 4.493 and 12.176 Å, with angles of 90.00, 90.00 and 90.00 degrees. Symmetry generates all atoms from Zn at (0.000, 0.000, 0.100), In at (0.000, 0.000, 0.500) and Sn at (0.000, 0.500, 0.250).

The energy of formation is 97 meV/atom. The value obtained for the polymorph energy (0 for the lowest one) is 0.005 eV/atom.



Below is a geometry-optimized Rb7Cd2Au2 structure, with properties calculated at the PBE level.

The space group is C2/m (No. 12) and the conventional cell measures 10.288, 16.425 and 7.648 Å, with angles of 90.00, 100.39 and 90.00 degrees. Symmetry generates all atoms from Rb at (0.000, 0.000, 0.000), Rb at (0.161, 0.500, 0.206), Rb at (0.180, 0.202, 0.257), Cd at (0.000, 0.379, 0.500) and Au at (0.173, 0.500, 0.710).

The energy of formation is -75 meV/atom. The value obtained for the polymorph energy (0 for the lowest one) is 0.012 eV/atom.



Below is a geometry-optimized Ca3TlI structure, with properties calculated at the PBE level.

The space group is Pm-3m (No. 221) and the conventional cell measures 6.012, 6.012 and 6.012 Å, with angles of 90.00, 90.00 and 90.00 degrees. Symmetry generates all atoms from Ca at (0.000, 0.000, 0.500), Tl at (0.000, 0.000, 0.000) and I at (0.500, 0.500, 0.500).

The value obtained for the polymorph energy (0 for the lowest one) is 0.000 eV/atom. The calculation puts the formation energy without anion corrections at -0.369 eV per atom.



Below is a geometry-optimized ErLu2Os structure, with properties calculated at the PBE level.

The space group is P4/mmm (No. 123) and the conventional cell measures 3.349, 3.349 and 8.902 Å, with angles of 90.00, 90.00 and 90.00 degrees. Symmetry generates all atoms from Er at (0.000, 0.000, 0.000), Lu at (0.500, 0.500, 0.318) and Os at (0.000, 0.000, 0.500).

The energy of formation is -191 meV/atom. The value obtained for the polymorph energy (0 for the lowest one) is 0.000 eV/atom.



Below is a geometry-optimized RbTmMnBr6 structure, with properties calculated at the PBE level.

The space group is P-31c (No. 163) and the conventional cell measures 6.8452, 6.8452 and 15.7703 Å, with angles of 90.00, 90.00 and 120.00 degrees. Symmetry generates all atoms from Rb at (0.0000, 0.0000, 0.0000), Tm at (0.3333, 0.6667, 0.2500), Mn at (0.3333, 0.6667, 0.7500) and Br at (0.0267, 0.3802, 0.6539).

The calculation puts the formation energy without anion corrections at -1.230 eV per atom.



Below is a geometry-optimized UH2I structure, with properties calculated at the PBE level.

The space group is R-3m (No. 166, hexagonal axes) and the conventional cell measures 3.8147, 3.8147 and 15.5266 Å, with angles of 90.00, 90.00 and 120.00 degrees. Symmetry generates all atoms from U at (0.0000, 0.0000, 0.0000), H at (0.0000, 0.0000, 0.3066) and I at (0.0000, 0.0000, 0.5000).

The uncorrected energy is -5.226 eV per atom.



Below is a geometry-optimized Cs2AgHg4Au3 structure, with properties calculated at the PBE level.

The space group is P-4m2 (No. 115) and the conventional cell measures 5.174, 5.174 and 11.263 Å, with angles of 90.00, 90.00 and 90.00 degrees. Symmetry generates all atoms from Cs at (0.000, 0.500, 0.249), Ag at (0.500, 0.500, 0.000), Hg at (0.000, 0.000, 0.500), Hg at (0.000, 0.500, 0.882), Hg at (0.500, 0.500, 0.500), Au at (0.000, 0.000, 0.000) and Au at (0.000, 0.500, 0.629).

The energy of formation is -150 meV/atom.



Below is a geometry-optimized Eu3Te5S12 structure, with properties calculated at the PBE level.

The space group is Ia-3d (No. 230) and the conventional cell measures 16.453, 16.453 and 16.453 Å, with angles of 90.00, 90.00 and 90.00 degrees. Symmetry generates all atoms from Eu at (0.000, 0.250, 0.125), Te at (0.000, 0.000, 0.000), Te at (0.000, 0.250, 0.375) and S at (0.017, 0.062, 0.650).

The calculation puts the formation energy without anion corrections at -0.444 eV per atom.